Compound: Mn21Si2C6
Source: the Alexandria database
Functional: PBE
Structure: relaxed

Summary:
- D(E_F) (states/eV per cell) = 28.25
- symmetry = Fm-3m
- energy relative to the elements, uncorrected (meV/atom) = -105.7
- calculated volume (Å³ per cell) = 280.9

Unit cell a=7.351 b=7.351 c=7.351 alpha=60.00 beta=60.00 gamma=60.00
Fractional positions:
Mn 0.000 0.000 0.000
Mn 0.000 0.000 0.336
Mn 0.000 0.000 0.664
Mn 0.000 0.336 0.000
Mn 0.000 0.336 0.664
Mn 0.000 0.664 0.000
Mn 0.000 0.664 0.336
Mn 0.149 0.617 0.617
Mn 0.336 0.000 0.000
Mn 0.336 0.000 0.664
Mn 0.336 0.664 0.000
Mn 0.383 0.383 0.383
Mn 0.383 0.383 0.851
Mn 0.383 0.851 0.383
Mn 0.617 0.149 0.617
Mn 0.617 0.617 0.149
Mn 0.617 0.617 0.617
Mn 0.664 0.000 0.000
Mn 0.664 0.000 0.336
Mn 0.664 0.336 0.000
Mn 0.851 0.383 0.383
Si 0.250 0.250 0.250
Si 0.750 0.750 0.750
C 0.276 0.276 0.724
C 0.276 0.724 0.276
C 0.276 0.724 0.724
C 0.724 0.276 0.276
C 0.724 0.276 0.724
C 0.724 0.724 0.276